Computed, not measured: a relaxed structure of TiZnCoP3O12 at the PBE+U level of DFT.

Computed properties:
Mass density, g/cm3: 3.426
Size of the total moment, μB per cell: 8.15
DFT total energy, eV per atom: -7.09
Space group: R3c
Volume, Å³/atom: 12.3

Cell lengths 8.501, 8.501, 8.501 Å; angles 60.89, 60.89, 60.89 degrees
Fractional coordinates of all 36 atoms:
Ti (0.000, 0.000, 0.000)
Ti (0.500, 0.500, 0.500)
Zn (0.148, 0.148, 0.148)
Zn (0.648, 0.648, 0.648)
Co (0.290, 0.290, 0.290)
Co (0.790, 0.790, 0.790)
P (0.099, 0.393, 0.687)
P (0.187, 0.893, 0.599)
P (0.393, 0.687, 0.099)
P (0.599, 0.187, 0.893)
P (0.687, 0.099, 0.393)
P (0.893, 0.599, 0.187)
O (0.033, 0.822, 0.640)
O (0.055, 0.405, 0.203)
O (0.089, 0.231, 0.885)
O (0.140, 0.322, 0.533)
O (0.140, 0.957, 0.764)
O (0.203, 0.055, 0.405)
O (0.231, 0.885, 0.089)
O (0.264, 0.457, 0.640)
O (0.322, 0.533, 0.140)
O (0.385, 0.731, 0.589)
O (0.405, 0.203, 0.055)
O (0.457, 0.640, 0.264)
O (0.533, 0.140, 0.322)
O (0.555, 0.703, 0.905)
O (0.589, 0.385, 0.731)
O (0.640, 0.033, 0.822)
O (0.640, 0.264, 0.457)
O (0.703, 0.905, 0.555)
O (0.731, 0.589, 0.385)
O (0.764, 0.140, 0.957)
O (0.822, 0.640, 0.033)
O (0.885, 0.089, 0.231)
O (0.905, 0.555, 0.703)
O (0.957, 0.764, 0.140)